(1)
Compound: Ni2IrPt
Source: Alexandria via LeMat-Bulk
Functional: GGA-PBEsol
Structure: relaxed

Structure (POSCAR):
```
Ni2IrPt
1.0
2.657 0.000 0.000
-1.329 2.301 0.000
0.000 0.000 24.843
Ni Ir Pt
6 3 3
Direct
0.000 0.000 0.248
0.000 0.000 0.752
0.333 0.667 0.419
0.333 0.667 0.915
0.667 0.333 0.085
0.667 0.333 0.581
0.000 0.000 0.500
0.333 0.667 0.167
0.667 0.333 0.833
0.000 0.000 0.000
0.333 0.667 0.667
0.667 0.333 0.333
```

## Properties
**Crystal system**: trigonal
**SG**: No. 166

=====

(2)
Compound: NiIr2Pt
Source: Alexandria via LeMat-Bulk
Functional: GGA-PBEsol
Structure: relaxed

Structure (POSCAR):
```
NiIr2Pt
1.0
2.684 0.000 0.000
0.000 4.450 0.000
0.000 0.000 9.124
Ni Ir Pt
2 4 2
Direct
0.000 0.000 0.000
0.500 0.500 0.500
0.000 0.500 0.272
0.000 0.500 0.728
0.500 0.000 0.228
0.500 0.000 0.772
0.000 0.000 0.500
0.500 0.500 0.000
```

## Properties
**Crystal system**: orthorhombic
**SG**: No. 71

=====

(3)
Compound: Ni2IrPt
Source: Alexandria via LeMat-Bulk
Functional: GGA-PBEsol
Structure: relaxed

Structure (POSCAR):
```
Ni2IrPt
1.0
5.321 0.000 0.000
0.000 7.081 0.000
0.000 0.000 2.654
Ni Ir Pt
4 2 2
Direct
0.250 0.250 0.000
0.250 0.750 0.000
0.750 0.250 0.000
0.750 0.750 0.000
0.000 0.000 0.500
0.500 0.500 0.500
0.000 0.500 0.500
0.500 0.000 0.500
```

## Properties
**Crystal system**: orthorhombic
**SG**: No. 65

=====

(4)
Compound: NiIr2Pt
Source: Alexandria via LeMat-Bulk
Functional: GGA-PBEsol
Structure: relaxed

Structure (POSCAR):
```
NiIr2Pt
1.0
2.706 0.000 0.000
0.000 3.744 0.000
0.000 0.000 5.324
Ni Ir Pt
1 2 1
Direct
0.000 0.000 0.000
0.000 0.000 0.517
0.500 0.500 0.754
0.500 0.500 0.245
```

## Properties
**Crystal system**: orthorhombic
**SG**: No. 25

=====

(5)
Compound: Ni2IrPt
Source: Alexandria via LeMat-Bulk
Functional: GGA-PBEsol
Structure: relaxed

Structure (POSCAR):
```
Ni2IrPt
1.0
4.439 0.000 0.000
0.000 2.651 0.000
-1.607 0.000 4.321
Ni Ir Pt
2 1 1
Direct
0.000 0.000 0.000
0.000 0.500 0.500
0.500 0.000 0.500
0.500 0.500 0.000
```

## Properties
**Crystal system**: monoclinic
**SG**: No. 10

=====

(6)
Compound: Ni2IrPt
Source: Alexandria via LeMat-Bulk
Functional: GGA-PBEsol
Structure: relaxed

Structure (POSCAR):
```
Ni2IrPt
1.0
3.661 0.000 0.000
0.000 3.661 0.000
0.000 0.000 7.464
Ni Ir Pt
4 2 2
Direct
0.000 0.000 0.000
0.000 0.500 0.250
0.500 0.000 0.750
0.500 0.500 0.500
0.000 0.500 0.750
0.500 0.000 0.250
0.000 0.000 0.500
0.500 0.500 0.000
```

## Properties
**Crystal system**: tetragonal
**SG**: No. 119

=====

(7)
Compound: Ni2IrPt
Source: Alexandria via LeMat-Bulk
Functional: GGA-PBEsol
Structure: relaxed

Structure (POSCAR):
```
Ni2IrPt
1.0
5.905 0.000 0.000
0.000 5.905 0.000
0.000 0.000 5.905
Ni Ir Pt
8 4 4
Direct
0.000 0.000 0.000
0.000 0.500 0.500
0.250 0.250 0.250
0.250 0.750 0.750
0.500 0.000 0.500
0.500 0.500 0.000
0.750 0.250 0.750
0.750 0.750 0.250
0.250 0.250 0.750
0.250 0.750 0.250
0.750 0.250 0.250
0.750 0.750 0.750
0.000 0.000 0.500
0.000 0.500 0.000
0.500 0.000 0.000
0.500 0.500 0.500
```

## Properties
**Crystal system**: cubic
**SG**: No. 216

=====

(8)
Compound: NiIr2Pt
Source: Alexandria via LeMat-Bulk
Functional: GGA-PBEsol
Structure: relaxed

Structure (POSCAR):
```
NiIr2Pt
1.0
3.787 0.000 0.000
0.000 3.787 0.000
0.000 0.000 7.506
Ni Ir Pt
2 4 2
Direct
0.000 0.000 0.000
0.500 0.500 0.500
0.000 0.500 0.250
0.000 0.500 0.750
0.500 0.000 0.250
0.500 0.000 0.750
0.000 0.000 0.500
0.500 0.500 0.000
```

## Properties
**Crystal system**: tetragonal
**SG**: No. 139

=====

For each record above, in turn, the calculated energy relative to the lowest polymorph listed for this composition values are 0.020, 0.171, 0.031, 0.005, 0.050, 0.026, 0.280, 0.059 eV per atom.
For each record above, in turn, the calculated energy of formation values are -0.0095, 0.1666, 0.0019, 0.0002, 0.0212, -0.0033, 0.2508, 0.0542 eV/atom.